(1)
The following is a DFT calculation (GGA-PBE) of a geometry-optimized TbErGa3Si2 structure.

Calculated values
Electronic total energy in hartree per atom: -0.173
Space-group type: Cm
Crystal system: monoclinic

Unit cell a=5.511 b=5.511 c=6.595 alpha=100.36 beta=100.36 gamma=43.15
Fractional coordinates of all 7 atoms:
Ga  0.303  0.303  0.641
Ga  0.001  0.001  0.501
Ga  0.696  0.696  0.361
Si  0.094  0.094  0.131
Si  0.906  0.906  0.865
Er  0.619  0.619  0.816
Tb  0.381  0.381  0.184


(2)
The following is a DFT calculation (GGA-PBE) of a geometry-optimized ErTmGa3Si2 structure.

Calculated values
Electronic total energy in hartree per atom: -0.171
Space-group type: Cm
Crystal system: monoclinic

Unit cell a=5.467 b=5.467 c=6.567 alpha=100.14 beta=100.14 gamma=43.19
Fractional coordinates of all 7 atoms:
Er  0.619  0.619  0.816
Si  0.906  0.906  0.868
Si  0.095  0.095  0.133
Ga  0.303  0.303  0.639
Ga  0.000  0.000  0.500
Ga  0.697  0.697  0.360
Tm  0.381  0.381  0.184


(3)
The following is a DFT calculation (GGA-PBE) of a geometry-optimized SmErGa4 structure.

Calculated values
Electronic total energy in hartree per atom: -0.152
Space-group type: Cmcm
Crystal system: orthorhombic

Unit cell a=9.610 b=9.610 c=6.508 alpha=90.00 beta=90.00 gamma=155.13
Fractional coordinates of all 12 atoms:
Ga  0.853  0.147  0.454
Ga  0.000  0.000  0.000
Ga  0.000  0.000  0.500
Ga  0.428  0.572  0.250
Ga  0.147  0.853  0.546
Ga  0.572  0.428  0.750
Ga  0.853  0.147  0.046
Ga  0.147  0.853  0.954
Sm  0.589  0.411  0.250
Sm  0.411  0.589  0.750
Er  0.735  0.265  0.750
Er  0.265  0.735  0.250


(4)
The following is a DFT calculation (GGA-PBE) of a geometry-optimized SmErZn2Ga2 structure.

Calculated values
Electronic total energy in hartree per atom: -0.131
Space-group type: P3m1
Crystal system: trigonal

Unit cell a=4.428 b=4.428 c=7.253 alpha=90.00 beta=90.00 gamma=120.00
Fractional coordinates of all 6 atoms:
Zn  0.333  0.667  0.044
Zn  0.667  0.333  0.523
Er  0.000  0.000  0.249
Sm  0.000  0.000  0.749
Ga  0.333  0.667  0.460
Ga  0.667  0.333  0.975


(5)
The following is a DFT calculation (GGA-PBE) of a geometry-optimized Er2GaSn structure.

Calculated values
Electronic total energy in hartree per atom: -0.173
Space-group type: Amm2
Crystal system: orthorhombic

Unit cell a=4.119 b=5.944 c=5.944 alpha=43.72 beta=90.00 gamma=90.00
Fractional coordinates of all 4 atoms:
Er  0.500  0.642  0.642
Er  0.000  0.365  0.365
Sn  0.000  0.082  0.082
Ga  0.500  0.911  0.911


(6)
The following is a DFT calculation (GGA-PBE) of a geometry-optimized SrErGa structure.

Calculated values
Electronic total energy in hartree per atom: -0.102
Space-group type: F-43m
Crystal system: cubic

Unit cell a=5.077 b=5.077 c=5.077 alpha=60.00 beta=60.00 gamma=60.00
Fractional coordinates of all 3 atoms:
Er  0.000  0.000  0.000
Sr  0.750  0.750  0.750
Ga  0.250  0.250  0.250